(1)
This record from the Alexandria database describes a relaxed structure of LaYAlGa. The functional is PBE-GGA.

Space-group type: F-43m
Distance to the lowest polymorph of the same formula (meV per atom): 23
DFT formation energy (eV per atom): -0.4801

a = 5.2267 Å, b = 5.2267 Å, c = 5.2267 Å
α = 60.00°, β = 60.00°, γ = 60.00°
Sites, in units of the cell vectors:
Y1 0.7500 0.7500 0.7500
Al1 0.0000 0.0000 0.0000
Ga1 0.5000 0.5000 0.5000
La1 0.2500 0.2500 0.2500

***

(2)
This record from the Alexandria database describes a relaxed structure of Ca2AlIn. The functional is PBE-GGA.

Space-group type: R-3m
Distance to the lowest polymorph of the same formula (meV per atom): 193
DFT formation energy (eV per atom): -0.1313

a = 10.3344 Å, b = 10.3344 Å, c = 10.3344 Å
α = 20.38°, β = 20.38°, γ = 20.38°
Sites, in units of the cell vectors:
Ca1 0.0028 0.0028 0.0028
Ca2 0.4972 0.4972 0.4972
Al1 0.7500 0.7500 0.7500
In1 0.2500 0.2500 0.2500

***

(3)
This record from the Alexandria database describes a relaxed structure of LiCaTiO3. The functional is PBE-GGA.

ΔE_f (raw) (eV/atom): -2.50
Space-group type: Cmcm

a = 2.9849 Å, b = 6.0014 Å, c = 10.9864 Å
α = 90.00°, β = 90.00°, γ = 104.40°
Sites, in units of the cell vectors:
Li1 0.0000 0.0000 0.5000
Li2 0.0000 0.0000 0.0000
Ca1 0.8473 0.6945 0.7500
Ca2 0.1527 0.3055 0.2500
Ti1 0.5743 0.1486 0.7500
Ti2 0.4257 0.8514 0.2500
O1 0.5312 0.0625 0.3739
O2 0.4688 0.9375 0.6261
O3 0.4688 0.9375 0.8739
O4 0.5312 0.0625 0.1261
O5 0.1991 0.3982 0.7500
O6 0.8009 0.6018 0.2500

***

(4)
This record from the Alexandria database describes a relaxed structure of BP2SO. The functional is PBE-GGA.

ΔE_f (raw) (eV/atom): 1.15
Space-group type: P4/mmm
Distance to the lowest polymorph of the same formula (meV per atom): 778

a = 4.1202 Å, b = 4.1202 Å, c = 3.8637 Å
α = 90.00°, β = 90.00°, γ = 90.00°
Sites, in units of the cell vectors:
P1 0.0000 0.5000 0.0000
P2 0.5000 0.0000 0.0000
S1 0.0000 0.0000 0.5000
B1 0.0000 0.0000 0.0000
O1 0.5000 0.5000 0.5000

***

(5)
This record from the Alexandria database describes a relaxed structure of NbAgOsO6. The functional is PBE-GGA.

ΔE_f (raw) (eV/atom): -1.33
Space-group type: P-31c

a = 5.2984 Å, b = 5.2984 Å, c = 9.8704 Å
α = 90.00°, β = 90.00°, γ = 120.00°
Site moments in Bohr magnetons follow the coordinates.
Sites, in units of the cell vectors:
Nb1 0.3333 0.6667 0.2500  0.11
Nb2 0.6667 0.3333 0.7500  0.11
Ag1 0.0000 0.0000 0.0000  -0.01
Ag2 0.0000 0.0000 0.5000  -0.01
Os1 0.6667 0.3333 0.2500  1.32
Os2 0.3333 0.6667 0.7500  1.32
O1 0.6307 0.6208 0.1405  0.07
O2 0.9900 0.3693 0.1405  0.07
O3 0.3693 0.9900 0.6405  0.07
O4 0.0100 0.6307 0.8595  0.07
O5 0.3792 0.3693 0.3595  0.07
O6 0.9900 0.6208 0.3595  0.07
O7 0.6208 0.9900 0.8595  0.07
O8 0.6307 0.0100 0.3595  0.07
O9 0.0100 0.3792 0.6405  0.07
O10 0.3792 0.0100 0.1405  0.07
O11 0.6208 0.6307 0.6405  0.07
O12 0.3693 0.3792 0.8595  0.07

***

(6)
This record from the Alexandria database describes a relaxed structure of DyLuHg2. The functional is PBE-GGA.

Space-group type: Fm-3m
Distance to the lowest polymorph of the same formula (meV per atom): 3
DFT formation energy (eV per atom): -0.4725

a = 5.2143 Å, b = 5.2143 Å, c = 5.2143 Å
α = 60.00°, β = 60.00°, γ = 60.00°
Sites, in units of the cell vectors:
Lu1 0.0000 0.0000 0.0000
Hg1 0.2500 0.2500 0.2500
Hg2 0.7500 0.7500 0.7500
Dy1 0.5000 0.5000 0.5000

***

no.,total moment (μB/cell)
1,0.00
2,0.00
3,0.00
4,0.01
5,3.91
6,0.00